Material: KLaZr2
Method: DFT, PBE
State: relaxed

Values from the calculation:
Its energy above the most stable polymorph in this dataset is 505 meV per atom. The magnetization is 0.002 μB/atom. For the calculated volume, the calculation gives 29.6 Å³ per atom. The formation energy is 0.828 eV per atom.

abc: 6.3628 6.3628 6.3628
angles: 136.97 136.97 62.48
Closest atoms and distances in Å follow each position.
Atoms (fractional coordinates):
K 0.0000 0.0000 0.0000  4 La 3.30, 8 Zr 3.58
La 0.5000 0.5000 0.0000  4 K 3.30, 8 Zr 3.58
Zr 0.2500 0.7500 0.5000  4 Zr 3.30, 4 La 3.58, 4 K 3.58
Zr 0.7500 0.2500 0.5000  4 Zr 3.30, 4 La 3.58, 4 K 3.58


Material: Ca3TaTc
Method: DFT, PBE
State: relaxed

Values from the calculation:
Its energy above the most stable polymorph in this dataset is 558 meV per atom. The magnetization is 0.044 μB/atom. For the calculated volume, the calculation gives 32.7 Å³ per atom. The formation energy is 2.015 eV per atom.

abc: 5.4699 5.4699 5.4699
angles: 90.00 90.00 90.00
Closest atoms and distances in Å follow each position.
Atoms (fractional coordinates):
Ca 0.0000 0.0000 0.5000  2 Ta 2.73
Ca 0.0000 0.5000 0.0000  2 Ta 2.73
Ca 0.5000 0.0000 0.0000  2 Ta 2.73
Ta 0.0000 0.0000 0.0000  6 Ca 2.73
Tc 0.5000 0.5000 0.5000  12 Ca 3.87


Material: Tl3Tc5
Method: DFT, PBE
State: relaxed

Values from the calculation:
Its energy above the most stable polymorph in this dataset is 394 meV per atom. The magnetization is 0.537 μB/atom. For the calculated volume, the calculation gives 17.9 Å³ per atom. The formation energy is 0.838 eV per atom.

abc: 6.1389 6.1389 3.8132
angles: 90.00 90.00 96.00
Closest atoms and distances in Å follow each position.
Atoms (fractional coordinates):
Tl 0.0000 0.0000 0.0000  8 Tc 2.97-3.07, 4 Tl 3.02
Tl 0.2573 0.7427 0.5000  8 Tc 2.80-2.92, 2 Tl 3.02
Tl 0.7427 0.2573 0.5000  8 Tc 2.80-2.92, 2 Tl 3.02
Tc 0.0000 0.5000 0.0000  6 Tl 2.80-3.07, 6 Tc 2.98-3.07
Tc 0.2773 0.2773 0.5000  2 Tc 2.64, 2 Tl 2.87
Tc 0.5000 0.0000 0.0000  6 Tl 2.80-3.07, 6 Tc 2.98-3.07
Tc 0.5000 0.5000 0.0000  4 Tc 2.64, 4 Tl 2.92
Tc 0.7227 0.7227 0.5000  2 Tc 2.64, 2 Tl 2.87


For the records above, the corresponding calculated total energy values read -19.81, -18.15, -52.22 eV for the cell shown.
For the records above, the corresponding N(E_F) values read 6.890, 13.555, 8.446 states/eV/f.u..